SmAl2AgAu5 | PBE-GGA | relaxed

Values from the calculation:
The volume is 20.43 A^3/atom. For the spin magnetization, the calculation gives 0.0 μB/f.u. The total energy is -3.819 eV/atom.

Lattice parameters (Å, degrees): 4.739 4.739 8.188 90.00 90.00 90.00
Atoms (fractional coordinates):
Au 0.000 0.500 0.737
Au 0.500 0.500 0.500
Sm 0.000 0.000 0.500
Au 0.000 0.500 0.263
Au 0.500 0.000 0.263
Au 0.500 0.000 0.737
Al 0.500 0.500 0.846
Al 0.500 0.500 0.154
Ag 0.000 0.000 0.000